(1)
# BeGaAs3 | the Alexandria database | PBE-GGA | relaxed
data_BeGaAs3
_space_group_name_H-M_alt 'P m -3 m'
_space_group_IT_number 221
_space_group_name_Hall '-P 4 2 3'
_cell_length_a 4.558
_cell_length_b 4.558
_cell_length_c 4.558
_cell_angle_alpha 90.00
_cell_angle_beta 90.00
_cell_angle_gamma 90.00
loop_
_atom_site_label
_atom_site_fract_x
_atom_site_fract_y
_atom_site_fract_z
Be1 0.000 0.000 0.000
Ga1 0.500 0.500 0.500
As1 0.000 0.000 0.500
# * ΔE to the lowest computed polymorph: 0.0000 eV per atom
# * energy relative to the elements: 0.48 eV/atom

***

(2)
# PtO | the Alexandria database | PBE-GGA | relaxed
data_PtO
_space_group_name_H-M_alt 'P m n 21'
_space_group_IT_number 31
_cell_length_a 11.656
_cell_length_b 3.695
_cell_length_c 4.865
_cell_angle_alpha 90.00
_cell_angle_beta 90.00
_cell_angle_gamma 90.00
loop_
_space_group_symop_operation_xyz
'x,y,z'
'-x+1/2,-y,z+1/2'
'-x,y,z'
'x+1/2,-y,z+1/2'
loop_
_atom_site_label
_atom_site_fract_x
_atom_site_fract_y
_atom_site_fract_z
Pt1 0.000 0.127 0.000
Pt2 0.232 0.587 0.241
O1 0.000 0.631 0.883
O2 0.175 0.140 0.028
# * uncorrected formation energy: 0.197 eV per atom

***

(3)
# HoCdHg3 | the Alexandria database | PBE-GGA | relaxed
data_HoCdHg3
_space_group_name_H-M_alt 'C 1 2/m 1'
_space_group_IT_number 12
_cell_length_a 27.946
_cell_length_b 3.546
_cell_length_c 5.220
_cell_angle_alpha 90.00
_cell_angle_beta 93.80
_cell_angle_gamma 90.00
loop_
_space_group_symop_operation_xyz
'x,y,z'
'-x,-y,-z'
'-x,y,-z'
'x,-y,z'
'x+1/2,y+1/2,z'
'-x+1/2,-y+1/2,-z'
'-x+1/2,y+1/2,-z'
'x+1/2,-y+1/2,z'
loop_
_atom_site_label
_atom_site_fract_x
_atom_site_fract_y
_atom_site_fract_z
Ho1 0.121 0.000 0.298
Cd1 0.084 0.500 0.783
Hg1 0.028 0.500 0.261
Hg2 0.184 0.000 0.820
Hg3 0.213 0.500 0.317
# * ΔE to the lowest computed polymorph: 0.1102 eV per atom
# * energy relative to the elements: -0.15 eV/atom

***

(4)
# V2WAu | the Alexandria database | PBE-GGA | relaxed
data_V2WAu
_space_group_name_H-M_alt 'R -3 m'
_space_group_IT_number 166
_space_group_name_Hall '-R 3 2"'
_cell_length_a 2.9673
_cell_length_b 2.9673
_cell_length_c 24.9710
_cell_angle_alpha 90.00
_cell_angle_beta 90.00
_cell_angle_gamma 120.00
loop_
_atom_site_label
_atom_site_fract_x
_atom_site_fract_y
_atom_site_fract_z
V1 0.0000 0.0000 0.2441
W1 0.0000 0.0000 0.5000
Au1 0.0000 0.0000 0.0000
# * ΔE to the lowest computed polymorph: 0.2429 eV per atom
# * energy relative to the elements: 0.25 eV/atom

***

(5)
# RbBSe3 | the Alexandria database | PBE-GGA | relaxed
data_RbBSe3
_space_group_name_H-M_alt 'P m -3 m'
_space_group_IT_number 221
_space_group_name_Hall '-P 4 2 3'
_cell_length_a 6.273
_cell_length_b 6.273
_cell_length_c 6.273
_cell_angle_alpha 90.00
_cell_angle_beta 90.00
_cell_angle_gamma 90.00
loop_
_atom_site_label
_atom_site_fract_x
_atom_site_fract_y
_atom_site_fract_z
Rb1 0.000 0.000 0.000
B1 0.500 0.500 0.500
Se1 0.000 0.000 0.500
# * uncorrected formation energy: 1.866 eV per atom

***

(6)
# BiSeI2N | the Alexandria database | PBE-GGA | relaxed
data_BiSeI2N
_space_group_name_H-M_alt 'P 4/m m m'
_space_group_IT_number 123
_space_group_name_Hall '-P 4 2'
_cell_length_a 6.351
_cell_length_b 6.351
_cell_length_c 4.314
_cell_angle_alpha 90.00
_cell_angle_beta 90.00
_cell_angle_gamma 90.00
loop_
_atom_site_label
_atom_site_fract_x
_atom_site_fract_y
_atom_site_fract_z
Bi1 0.000 0.000 0.000
Se1 0.500 0.500 0.500
I1 0.000 0.500 0.000
N1 0.000 0.000 0.500
# * uncorrected formation energy: 1.013 eV per atom
# * ΔE to the lowest computed polymorph: 0.2342 eV per atom